PrAl4Ag12 | Alexandria via LeMat-Bulk | PBE | relaxed; density = 6.96 g/cm³; E_form = 0.215 eV/atom; space group = Im-3, No. 204
1.0
-4.514 4.514 4.514
4.514 -4.514 4.514
4.514 4.514 -4.514
Pr Al Ag
1 4 12
Cartesian
0.000 0.000 0.000
2.257 2.257 -2.257
2.257 -2.257 2.257
-2.257 2.257 2.257
2.257 2.257 2.257
3.124 1.405 0.000
5.904 1.405 0.000
4.514 -1.390 3.109
3.109 4.514 -1.390
1.405 0.000 3.124
4.514 1.390 3.109
0.000 3.124 1.405
3.109 4.514 1.390
1.405 0.000 5.904
0.000 5.904 1.405
-1.390 3.109 4.514
1.390 3.109 4.514